First-principles (PBEsol) data for a relaxed structure of BeFe2P, as listed in Alexandria.

Cell: 3.700 3.700 3.700 Å, 60.00 60.00 60.00°
Positions (direct):
P (0.500, 0.500, 0.500)
Fe (0.250, 0.250, 0.250)
Fe (0.750, 0.750, 0.750)
Be (0.000, 0.000, 0.000)

Results
Its volume is 8.95 A^3/atom. The size of the total moment comes out at 0.001 μB per atom. The calculation puts the energy of formation at -2.23 eV per formula unit.